Entry 1:
The following is a SCAN calculation of Pd3SO at its PBEsol-relaxed geometry, from Alexandria via LeMat-Bulk.

Computed properties:
total energy: -113.295 eV per cell

Unit cell a=4.1435 b=4.1435 c=4.1435 alpha=90.00 beta=90.00 gamma=90.00
Space group Pm-3m (No. 221)
Inequivalent atoms, fractional coordinates:
1 Pd 0.0000 0.0000 0.5000
2 S 0.5000 0.5000 0.5000
3 O 0.0000 0.0000 0.0000

---

Entry 2:
The following is a SCAN calculation of HgIrRuCl2 at its PBEsol-relaxed geometry, from Alexandria via LeMat-Bulk.

Computed properties:
total energy: -180.832 eV per cell

Unit cell a=4.7538 b=4.7538 c=5.5080 alpha=90.00 beta=90.00 gamma=90.00
Space group P4/mmm (No. 123)
Inequivalent atoms, fractional coordinates:
1 Hg 0.0000 0.0000 0.0000
2 Ir 0.5000 0.5000 0.5000
3 Ru 0.0000 0.0000 0.5000
4 Cl 0.0000 0.5000 0.0000

---

Entry 3:
The following is a SCAN calculation of YTaBi2 at its PBEsol-relaxed geometry, from Alexandria via LeMat-Bulk.

Computed properties:
E_form: -0.0003 eV/atom

Unit cell a=7.2296 b=7.2296 c=7.2296 alpha=90.00 beta=90.00 gamma=90.00
Space group Fm-3m (No. 225)
Inequivalent atoms, fractional coordinates:
1 Y 0.0000 0.0000 0.0000
2 Ta 0.0000 0.0000 0.5000
3 Bi 0.2500 0.2500 0.2500

---

Entry 4:
The following is a SCAN calculation of KMnCuAs2 at its PBEsol-relaxed geometry, from Alexandria via LeMat-Bulk.

Computed properties:
E_form: 0.1855 eV/atom

Unit cell a=4.7888 b=4.7888 c=4.7610 alpha=90.00 beta=90.00 gamma=90.00
Space group P4/mmm (No. 123)
Inequivalent atoms, fractional coordinates:
1 K 0.0000 0.0000 0.0000
2 Mn 0.5000 0.5000 0.0000
3 Cu 0.5000 0.5000 0.5000
4 As 0.0000 0.5000 0.5000

---

Entry 5:
The following is a SCAN calculation of Ca2ZrRh at its PBEsol-relaxed geometry, from Alexandria via LeMat-Bulk.

Computed properties:
relative energy among the computed polymorphs: 18.20 kJ/mol of atoms
E_form: 0.2445 eV/atom

Unit cell a=5.6442 b=9.9042 c=3.1357 alpha=90.00 beta=90.00 gamma=90.00
Space group Cmmm (No. 65)
Inequivalent atoms, fractional coordinates:
1 Ca 0.2500 0.2500 0.0000
2 Zr 0.0000 0.0000 0.5000
3 Rh 0.0000 0.5000 0.5000

---

Entry 6:
The following is a SCAN calculation of Li2Mg at its PBEsol-relaxed geometry, from Alexandria via LeMat-Bulk.

Computed properties:
E_form: -0.0390 eV/atom

Unit cell a=3.3827 b=14.4607 c=4.8204 alpha=90.00 beta=90.00 gamma=90.00
Space group Cmcm (No. 63)
Inequivalent atoms, fractional coordinates:
1 Li 0.0000 0.0855 0.2500
2 Li 0.0000 0.2534 0.7500
3 Mg 0.0000 0.4183 0.2500

---

Entry 7:
The following is a SCAN calculation of ZrP2Br at its PBEsol-relaxed geometry, from Alexandria via LeMat-Bulk.

Computed properties:
relative energy among the computed polymorphs: 0.00 kJ/mol of atoms

Unit cell a=3.3459 b=3.6766 c=7.1272 alpha=90.00 beta=90.00 gamma=90.00
Space group Pmm2 (No. 25)
Inequivalent atoms, fractional coordinates:
1 Zr 0.0000 0.0000 0.0000
2 P 0.0000 0.5000 0.3245
3 P 0.5000 0.5000 0.1195
4 Br 0.5000 0.0000 0.7059

---

Entry 8:
The following is a SCAN calculation of Hg3NF at its PBEsol-relaxed geometry, from Alexandria via LeMat-Bulk.

Computed properties:
total energy: -216.023 eV per cell

Unit cell a=4.6102 b=4.6102 c=4.6102 alpha=90.00 beta=90.00 gamma=90.00
Space group Pm-3m (No. 221)
Inequivalent atoms, fractional coordinates:
1 Hg 0.0000 0.0000 0.5000
2 N 0.0000 0.0000 0.0000
3 F 0.5000 0.5000 0.5000

---

These records have magnetic moment values of 0.00; 5.05; 0.00; 4.94; 0.00; 0.11; 0.00; 0.00 Bohr magnetons per cell, in the order they appear.